Record 1
NaCdN after structural relaxation, computed with GGA-PBEsol.

a = 3.797 Å, b = 3.797 Å, c = 4.730 Å
α = 90.00°, β = 90.00°, γ = 120.00°
Positions (direct):
N1 0.667 0.333 0.500
Na1 0.667 0.333 0.000
Cd1 0.333 0.667 0.500

## Properties
Magnetic moment: 0.000 μB per atom

***

Record 2
NaCdN3 after structural relaxation, computed with GGA-PBEsol.

a = 4.229 Å, b = 4.229 Å, c = 4.229 Å
α = 90.00°, β = 90.00°, γ = 90.00°
Each line ends with the local moment (μB).
Positions (direct):
Cd1 0.500 0.500 0.500  -0.08
Na1 0.000 0.000 0.000  0.06
N1 0.000 0.500 0.000  1.42
N2 0.500 0.000 0.000  1.42
N3 0.000 0.000 0.500  1.42

## Properties
Magnetic moment: 1.204 μB per atom

***

Record 3
NaCdSe2N after structural relaxation, computed with GGA-PBEsol.

a = 4.224 Å, b = 5.320 Å, c = 5.320 Å
α = 90.00°, β = 90.00°, γ = 90.00°
Each line ends with the local moment (μB).
Positions (direct):
Na1 0.500 0.500 0.500  0.00
N1 0.500 0.000 0.000  1.18
Se1 0.000 0.000 0.500  0.32
Cd1 0.000 0.000 0.000  0.03
Se2 0.000 0.500 0.000  0.32

## Properties
Magnetic moment: 0.544 μB per atom

***

Record 4
NaCdTe2N after structural relaxation, computed with GGA-PBEsol.

a = 4.297 Å, b = 5.511 Å, c = 5.511 Å
α = 90.00°, β = 90.00°, γ = 90.00°
Each line ends with the local moment (μB).
Positions (direct):
N1 0.500 0.000 0.000  1.59
Te1 0.000 0.500 0.000  0.11
Cd1 0.500 0.500 0.500  0.01
Te2 0.000 0.000 0.500  0.11
Na1 0.000 0.000 0.000  0.01

## Properties
Magnetic moment: 0.550 μB per atom

***

Record 5
NbCdS2N after structural relaxation, computed with GGA-PBEsol.

a = 3.865 Å, b = 4.921 Å, c = 4.921 Å
α = 90.00°, β = 90.00°, γ = 90.00°
Positions (direct):
N1 0.500 0.000 0.000
S1 0.000 0.500 0.000
Nb1 0.000 0.000 0.000
S2 0.000 0.000 0.500
Cd1 0.500 0.500 0.500

## Properties
Magnetic moment: 0.000 μB per atom

***

Record 6
NbCd2SiN after structural relaxation, computed with GGA-PBEsol.

a = 4.134 Å, b = 4.535 Å, c = 4.535 Å
α = 90.00°, β = 90.00°, γ = 90.00°
Each line ends with the local moment (μB).
Positions (direct):
Nb1 0.500 0.000 0.000  0.22
Si1 0.500 0.500 0.500  0.00
Cd1 0.000 0.500 0.000  0.00
N1 0.000 0.000 0.000  -0.01
Cd2 0.000 0.000 0.500  0.00

## Properties
Magnetic moment: 0.051 μB per atom

***

Record order is preserved below.
Raw formation energy: 299.1; 2499.4; 629.0; 1103.7; -150.4; 380.6 meV per atom
Record order is preserved below.
E_tot: -3.41; -3.14; -3.14; -2.53; -6.01; -5.12 eV/atom